No. 1
Rb2MgO: optimized geometry, PBE-GGA.

Calculated values
spin magnetization: 0.00 μB per cell
ΔE_f (raw): -15 kJ/mol of formula units
DFT total energy: -2.160 eV/atom

Cell and atoms, written as extended XYZ:
```
4
Lattice="0.0000 3.9537 3.9537 3.9537 0.0000 3.9537 3.9537 3.9537 0.0000" Properties=species:S:1:pos:R:3 pbc="T T T"
Rb 1.9768 1.9768 1.9768
Rb 5.9305 5.9305 5.9305
Mg 0.0000 0.0000 0.0000
O 3.9537 3.9537 3.9537
```

No. 2
MgReIr: optimized geometry, PBE-GGA.

Calculated values
spin magnetization: 0.00 μB per cell
ΔH_f (0 K): -50 kJ/mol of formula units
DFT total energy: -7.808 eV/atom

Cell and atoms, written as extended XYZ:
```
6
Lattice="-1.4048 1.4048 12.7176 1.4048 -1.4048 12.7176 1.4048 1.4048 -12.7176" Properties=species:S:1:pos:R:3 pbc="T T T"
Mg 0.0000 0.0000 1.5939
Mg 0.0000 0.0000 23.8413
Re 0.0000 0.0000 5.2970
Re 0.0000 0.0000 20.1381
Ir 0.0000 0.0000 9.1707
Ir 0.0000 0.0000 16.2645
```

No. 3
Sc3Nb: optimized geometry, PBE-GGA.

Calculated values
spin magnetization: 0.00 μB per cell
ΔH_f (0 K): 36 kJ/mol of formula units
DFT total energy: -7.174 eV/atom

Cell and atoms, written as extended XYZ:
```
4
Lattice="-2.2228 2.2228 4.4393 2.2228 -2.2228 4.4393 2.2228 2.2228 -4.4393" Properties=species:S:1:pos:R:3 pbc="T T T"
Sc 0.0000 0.0000 0.0000
Sc 2.2228 0.0000 2.2197
Sc 0.0000 2.2228 2.2197
Nb 0.0000 0.0000 4.4393
```

No. 4
AlCrTc: optimized geometry, PBE-GGA.

Calculated values
spin magnetization: 0.00 μB per cell
ΔH_f (0 K): -49 kJ/mol of formula units
DFT total energy: -8.079 eV/atom

Cell and atoms, written as extended XYZ:
```
3
Lattice="4.1886 0.0000 0.0000 -2.0943 3.6275 0.0000 0.0000 0.0000 2.6625" Properties=species:S:1:pos:R:3 pbc="T T T"
Al 0.0000 0.0000 0.0000
Cr 2.0943 1.2092 0.9472
Tc 0.0000 2.4183 1.6076
```

No. 5
CaCdSeBr2: optimized geometry, PBE-GGA.

Calculated values
spin magnetization: 0.00 μB per cell
ΔE_f (raw): -353 kJ/mol of formula units
DFT total energy: -2.681 eV/atom

Cell and atoms, written as extended XYZ:
```
5
Lattice="5.4535 0.0000 0.0000 0.0000 5.4535 0.0000 0.0000 0.0000 5.8774" Properties=species:S:1:pos:R:3 pbc="T T T"
Ca 0.0000 0.0000 0.0000
Cd 2.7268 2.7268 2.9387
Se 0.0000 0.0000 2.9387
Br 0.0000 2.7268 0.0000
Br 2.7268 0.0000 0.0000
```

No. 6
LaAlVSi2: optimized geometry, PBE-GGA.

Calculated values
spin magnetization: 0.12 μB per cell
ΔE_f (raw): 840 kJ/mol of formula units
DFT total energy: -3.986 eV/atom

Cell and atoms, written as extended XYZ:
```
5
Lattice="5.3876 0.0000 0.0000 0.0000 5.3876 0.0000 0.0000 0.0000 4.7819" Properties=species:S:1:pos:R:3 pbc="T T T"
La 0.0000 0.0000 0.0000
Al 2.6938 2.6938 2.3910
V 0.0000 0.0000 2.3910
Si 0.0000 2.6938 0.0000
Si 2.6938 0.0000 0.0000
```

No. 7
Ac2GaNiAu6: optimized geometry, PBE-GGA.

Calculated values
spin magnetization: 0.00 μB per cell
ΔH_f (0 K): -475 kJ/mol of formula units
DFT total energy: -4.161 eV/atom

Cell and atoms, written as extended XYZ:
```
10
Lattice="6.3469 -2.8768 0.0000 6.3469 2.8768 0.0000 -5.8168 0.0000 6.4353" Properties=species:S:1:pos:R:3 pbc="T T T"
Ac 1.8575 0.0000 1.3281
Ac 5.0196 0.0000 5.1072
Ga -2.9084 0.0000 3.2176
Ni 6.3469 0.0000 0.0000
Au 4.8427 1.4213 1.5701
Au -0.3420 0.0000 3.9755
Au 2.0343 1.4213 4.8652
Au 4.8427 -1.4213 1.5701
Au 7.2191 0.0000 2.4598
Au 2.0343 -1.4213 4.8652
```

No. 8
LiNb3O: optimized geometry, PBE-GGA.

Calculated values
spin magnetization: 0.00 μB per cell
ΔE_f (raw): -213 kJ/mol of formula units
DFT total energy: -7.858 eV/atom

Cell and atoms, written as extended XYZ:
```
5
Lattice="4.2621 0.0000 0.0000 0.0000 4.2621 0.0000 0.0000 0.0000 4.2621" Properties=species:S:1:pos:R:3 pbc="T T T"
Li 0.0000 0.0000 0.0000
Nb 0.0000 2.1310 2.1310
Nb 2.1310 0.0000 2.1310
Nb 2.1310 2.1310 0.0000
O 2.1310 2.1310 2.1310
```

No. 9
LaCeCuAg: optimized geometry, PBE-GGA.

Calculated values
spin magnetization: 1.03 μB per cell
ΔH_f (0 K): -28 kJ/mol of formula units
DFT total energy: -4.526 eV/atom

Cell and atoms, written as extended XYZ:
```
4
Lattice="0.0000 3.7012 3.7012 3.7012 0.0000 3.7012 3.7012 3.7012 0.0000" Properties=species:S:1:pos:R:3 pbc="T T T"
La 0.0000 0.0000 0.0000
Ce 3.7012 3.7012 3.7012
Cu 1.8506 1.8506 1.8506
Ag 5.5517 5.5517 5.5517
```

No. 10
Sr2PrP2N6: optimized geometry, PBE-GGA.

Calculated values
spin magnetization: 0.00 μB per cell
ΔE_f (raw): -824 kJ/mol of formula units
DFT total energy: -7.042 eV/atom

Cell and atoms, written as extended XYZ:
```
11
Lattice="2.8937 1.6707 6.3601 -2.8937 1.6707 6.3601 0.0000 -3.3414 6.3601" Properties=species:S:1:pos:R:3 pbc="T T T"
Sr 0.0000 0.0000 3.8189
Sr 0.0000 0.0000 15.2615
Pr 0.0000 0.0000 0.0000
P 0.0000 0.0000 8.0592
P 0.0000 0.0000 11.0212
N -1.3659 -0.7886 10.9965
N 0.0000 -1.5772 8.0839
N -1.3659 0.7886 8.0839
N 1.3659 -0.7886 10.9965
N 0.0000 1.5772 10.9965
N 1.3659 0.7886 8.0839
```

No. 11
Hg4F: optimized geometry, PBE-GGA.

Calculated values
spin magnetization: 0.00 μB per cell
ΔE_f (raw): -81 kJ/mol of formula units
DFT total energy: -0.784 eV/atom

Cell and atoms, written as extended XYZ:
```
5
Lattice="5.2438 0.0000 0.0000 0.0000 5.2438 0.0000 0.0000 0.0000 5.2438" Properties=species:S:1:pos:R:3 pbc="T T T"
Hg 0.0000 0.0000 0.0000
Hg 0.0000 2.6219 2.6219
Hg 2.6219 0.0000 2.6219
Hg 2.6219 2.6219 0.0000
F 2.6219 2.6219 2.6219
```

No. 12
Ca2AcNdAu4: optimized geometry, PBE-GGA.

Calculated values
spin magnetization: 0.00 μB per cell
ΔH_f (0 K): -616 kJ/mol of formula units
DFT total energy: -4.047 eV/atom

Cell and atoms, written as extended XYZ:
```
8
Lattice="2.6286 1.5176 8.7020 -2.6286 1.5176 8.7020 0.0000 -3.0353 8.7020" Properties=species:S:1:pos:R:3 pbc="T T T"
Ca 0.0000 0.0000 6.4584
Ca 0.0000 0.0000 19.6476
Ac 0.0000 0.0000 0.0000
Nd 0.0000 0.0000 13.0530
Au 0.0000 0.0000 3.3220
Au 0.0000 0.0000 9.9191
Au 0.0000 0.0000 16.1869
Au 0.0000 0.0000 22.7840
```

No. 13
GeMo: optimized geometry, PBE-GGA.

Calculated values
spin magnetization: 0.37 μB per cell
ΔH_f (0 K): 84 kJ/mol of formula units
DFT total energy: -7.289 eV/atom

Cell and atoms, written as extended XYZ:
```
2
Lattice="0.0000 2.5730 2.5730 2.5730 0.0000 2.5730 2.5730 2.5730 0.0000" Properties=species:S:1:pos:R:3 pbc="T T T"
Ge 0.0000 0.0000 0.0000
Mo 2.5730 2.5730 2.5730
```

No. 14
Ho2ZrCu6: optimized geometry, PBE-GGA.

Calculated values
spin magnetization: 0.00 μB per cell
ΔH_f (0 K): -169 kJ/mol of formula units
DFT total energy: -4.893 eV/atom

Cell and atoms, written as extended XYZ:
```
9
Lattice="7.3837 0.0000 0.0000 -3.6918 6.3945 0.0000 0.0000 0.0000 3.2670" Properties=species:S:1:pos:R:3 pbc="T T T"
Ho 0.0000 4.2630 0.0000
Ho 3.6919 2.1315 0.0000
Zr 0.0000 0.0000 0.0000
Cu -1.2195 2.1122 1.6335
Cu -2.4724 4.2823 1.6335
Cu 2.4389 0.0000 1.6335
Cu 1.2195 2.1122 1.6335
Cu 4.9448 0.0000 1.6335
Cu 2.4724 4.2823 1.6335
```

No. 15
Rb3Tb2InO6: optimized geometry, PBE-GGA.

Calculated values
spin magnetization: 0.00 μB per cell
ΔE_f (raw): -2614 kJ/mol of formula units
DFT total energy: -5.979 eV/atom

Cell and atoms, written as extended XYZ:
```
12
Lattice="3.0203 -5.2315 0.0000 3.0203 5.2315 0.0000 -2.0114 0.0000 6.5569" Properties=species:S:1:pos:R:3 pbc="T T T"
Rb 0.0000 0.0000 0.0000
Rb 3.0203 1.7228 0.0000
Rb 3.0203 -1.7228 0.0000
Tb 2.0146 3.4875 3.2784
Tb 2.0146 -3.4875 3.2784
In 2.0146 0.0000 3.2784
O 1.0214 1.7200 2.1141
O 0.0293 0.0000 4.4418
O 1.0214 -1.7200 2.1141
O 3.0079 1.7200 4.4427
O 4.0000 0.0000 2.1151
O 3.0079 -1.7200 4.4427
```

No. 16
TcIrRh2: optimized geometry, PBE-GGA.

Calculated values
spin magnetization: 0.00 μB per cell
ΔH_f (0 K): -22 kJ/mol of formula units
DFT total energy: -8.539 eV/atom

Cell and atoms, written as extended XYZ:
```
4
Lattice="2.7170 -3.8849 0.0000 2.7170 3.8849 0.0000 0.0000 0.0000 2.7070" Properties=species:S:1:pos:R:3 pbc="T T T"
Tc 0.0000 0.0000 0.0000
Ir 2.7170 0.0000 0.0000
Rh 1.3585 1.9424 1.3535
Rh 1.3585 -1.9424 1.3535
```

No. 17
La2PuPd: optimized geometry, PBE-GGA.

Calculated values
spin magnetization: 6.37 μB per cell
ΔH_f (0 K): 9 kJ/mol of formula units
DFT total energy: -7.323 eV/atom

Cell and atoms, written as extended XYZ:
```
4
Lattice="1.8455 1.0655 10.6014 -1.8455 1.0655 10.6014 0.0000 -2.1310 10.6014" Properties=species:S:1:pos:R:3 pbc="T T T"
La 0.0000 0.0000 3.2593
La 0.0000 0.0000 28.5449
Pu 0.0000 0.0000 0.0000
Pd 0.0000 0.0000 15.9021
```

No. 18
RbYAu3: optimized geometry, PBE-GGA.

Calculated values
spin magnetization: 0.00 μB per cell
ΔH_f (0 K): 399 kJ/mol of formula units
DFT total energy: -2.626 eV/atom

Cell and atoms, written as extended XYZ:
```
5
Lattice="5.5620 0.0000 0.0000 0.0000 5.5620 0.0000 0.0000 0.0000 5.5620" Properties=species:S:1:pos:R:3 pbc="T T T"
Rb 0.0000 0.0000 0.0000
Y 2.7810 2.7810 2.7810
Au 0.0000 0.0000 2.7810
Au 0.0000 2.7810 0.0000
Au 2.7810 0.0000 0.0000
```

No. 19
Sc4CoCu: optimized geometry, PBE-GGA.

Calculated values
spin magnetization: 1.80 μB per cell
ΔH_f (0 K): 376 kJ/mol of formula units
DFT total energy: -5.439 eV/atom

Cell and atoms, written as extended XYZ:
```
6
Lattice="0.0000 3.9176 3.9176 3.9176 0.0000 3.9176 3.9176 3.9176 0.0000" Properties=species:S:1:pos:R:3 pbc="T T T"
Sc 0.9761 0.9761 0.9761
Sc 2.9416 2.9416 0.9761
Sc 2.9416 0.9761 2.9416
Sc 0.9761 2.9416 2.9416
Co 5.8764 5.8764 5.8764
Cu 3.9176 3.9176 3.9176
```

No. 20
Te3P: optimized geometry, PBE-GGA.

Calculated values
spin magnetization: 0.00 μB per cell
ΔE_f (raw): 183 kJ/mol of formula units
DFT total energy: -3.235 eV/atom

Cell and atoms, written as extended XYZ:
```
8
Lattice="-2.0295 2.0295 16.4481 2.0295 -2.0295 16.4481 2.0295 2.0295 -16.4481" Properties=species:S:1:pos:R:3 pbc="T T T"
Te 2.0295 0.0000 0.0000
Te 0.0000 0.0000 4.1066
Te 2.0295 0.0000 8.2241
Te 0.0000 2.0295 0.0000
Te 0.0000 2.0295 8.2241
Te 0.0000 0.0000 28.7897
P 0.0000 0.0000 12.6542
P 0.0000 0.0000 20.2421
```

No. 21
AcPm5Dy: optimized geometry, PBE-GGA.

Calculated values
spin magnetization: 0.00 μB per cell
ΔH_f (0 K): 61 kJ/mol of formula units
DFT total energy: -4.547 eV/atom

Cell and atoms, written as extended XYZ:
```
14
Lattice="4.4704 -5.0492 0.0000 4.4704 5.0492 0.0000 -3.8349 0.0000 11.1335" Properties=species:S:1:pos:R:3 pbc="T T T"
Ac 2.2352 2.5246 0.0000
Ac 0.3178 -2.5246 5.5668
Pm -0.5210 1.0560 5.9482
Pm 3.5117 4.2471 2.7834
Pm 1.3964 -1.0560 0.3815
Pm 2.0723 0.7357 3.6844
Pm 0.1549 -0.7357 9.2511
Pm 4.9510 0.7357 1.8824
Pm 3.0336 -0.7357 7.4492
Pm 3.7095 1.0560 10.7521
Pm 1.5942 -4.2471 8.3502
Pm 5.6270 -1.0560 5.1853
Dy 1.5942 2.4223 8.3502
Dy 3.5117 -2.4223 2.7834
```

No. 22
La3Pr2Au3: optimized geometry, PBE-GGA.

Calculated values
spin magnetization: 0.00 μB per cell
ΔH_f (0 K): -439 kJ/mol of formula units
DFT total energy: -4.841 eV/atom

Cell and atoms, written as extended XYZ:
```
8
Lattice="-1.9124 2.7360 11.2350 1.9124 -2.7360 11.2350 1.9124 2.7360 -11.2350" Properties=species:S:1:pos:R:3 pbc="T T T"
La 0.0000 0.0000 0.0000
La 1.9124 0.0000 8.6355
La 0.0000 2.7360 2.5995
Pr 0.0000 0.0000 5.1412
Pr 0.0000 0.0000 17.3288
Au 1.9124 0.0000 2.6601
Au 0.0000 0.0000 11.2350
Au 0.0000 2.7360 8.5749
```

No. 23
Nd5YHg6: optimized geometry, PBE-GGA.

Calculated values
spin magnetization: 2.53 μB per cell
ΔH_f (0 K): -550 kJ/mol of formula units
DFT total energy: -3.151 eV/atom

Cell and atoms, written as extended XYZ:
```
12
Lattice="5.3836 0.0000 0.0000 0.0000 7.6788 0.0000 -2.6675 0.0000 8.0957" Properties=species:S:1:pos:R:3 pbc="T T T"
Nd 0.0000 0.0000 0.0000
Nd 0.0162 0.0000 5.3672
Nd 0.0162 3.8394 5.3964
Nd 2.6999 3.8394 2.6992
Nd 2.6999 0.0000 2.7284
Y 0.0000 3.8394 0.0000
Hg 0.0078 1.9501 2.6409
Hg 0.0078 5.7287 2.6409
Hg 2.6918 1.9764 0.0000
Hg 2.6918 5.7024 0.0000
Hg 2.7083 1.9501 5.4547
Hg 2.7083 5.7287 5.4547
```